Entry 1:
A plane-wave DFT calculation with GGA-PBE was carried out for an optimized crystal structure of BOs.

Values from the calculation:
Crystal system: cubic
DFT formation energy, meV per atom: 741
Uncorrected energy, eV per atom: -8.212

```
data_BOs
_chemical_formula_sum 'B4 Os4'
_cell_length_a 4.743
_cell_length_b 4.743
_cell_length_c 4.743
_cell_angle_alpha 90.00
_cell_angle_beta 90.00
_cell_angle_gamma 90.00
_space_group_name_H-M_alt 'F -4 3 m'
_space_group_IT_number 216
_space_group_name_Hall 'F -4 2 3'
loop_
_atom_site_label
_atom_site_fract_x
_atom_site_fract_y
_atom_site_fract_z
B1 0.000 0.000 0.000
Os1 0.250 0.250 0.750
```


Entry 2:
A plane-wave DFT calculation with GGA-PBE was carried out for an optimized crystal structure of BOs.

Values from the calculation:
Crystal system: orthorhombic
DFT formation energy, meV per atom: 55
Uncorrected energy, eV per atom: -8.898

```
data_BOs
_chemical_formula_sum 'B8 Os8'
_cell_length_a 4.146
_cell_length_b 5.282
_cell_length_c 8.046
_cell_angle_alpha 90.00
_cell_angle_beta 90.00
_cell_angle_gamma 90.00
_space_group_name_H-M_alt 'P 21 21 21'
_space_group_IT_number 19
loop_
_space_group_symop_operation_xyz
'x,y,z'
'-x+1/2,-y,z+1/2'
'x+1/2,-y+1/2,-z'
'-x,y+1/2,-z+1/2'
loop_
_atom_site_label
_atom_site_fract_x
_atom_site_fract_y
_atom_site_fract_z
B1 0.121 0.023 0.279
B2 0.157 0.519 0.046
Os1 0.125 0.352 0.786
Os2 0.150 0.930 0.018
```


Entry 3:
A plane-wave DFT calculation with GGA-PBE was carried out for an optimized crystal structure of BOs.

Values from the calculation:
Crystal system: tetragonal
DFT formation energy, meV per atom: 178
Uncorrected energy, eV per atom: -8.776

```
data_BOs
_chemical_formula_sum 'B8 Os8'
_cell_length_a 7.434
_cell_length_b 7.434
_cell_length_c 3.934
_cell_angle_alpha 90.00
_cell_angle_beta 90.00
_cell_angle_gamma 90.00
_space_group_name_H-M_alt 'I 4/m'
_space_group_IT_number 87
_space_group_name_Hall '-I 4'
loop_
_atom_site_label
_atom_site_fract_x
_atom_site_fract_y
_atom_site_fract_z
B1 0.097 0.753 0.000
Os1 0.148 0.350 0.000
```


Entry 4:
A plane-wave DFT calculation with GGA-PBE was carried out for an optimized crystal structure of B2Os.

Values from the calculation:
Crystal system: tetragonal
DFT formation energy, meV per atom: 138
Uncorrected energy, eV per atom: -8.057

```
data_B2Os
_chemical_formula_sum 'B4 Os2'
_cell_length_a 2.787
_cell_length_b 2.787
_cell_length_c 6.866
_cell_angle_alpha 90.00
_cell_angle_beta 90.00
_cell_angle_gamma 90.00
_space_group_name_H-M_alt 'I 4/m m m'
_space_group_IT_number 139
_space_group_name_Hall '-I 4 2'
loop_
_atom_site_label
_atom_site_fract_x
_atom_site_fract_y
_atom_site_fract_z
B1 0.000 0.000 0.174
Os1 0.000 0.000 0.500
```